# LaNbAu2 | Alexandria via LeMat-Bulk | PBE-GGA | relaxed
# - Electronic total energy: -0.2026 Ha/atom
# - Energy relative to the elements: -0.1259 eV/atom
# - Total moment: 9.619 Bohr magnetons per cell
data_LaNbAu2
_space_group_name_H-M_alt 'F m -3 m'
_space_group_IT_number 225
_space_group_name_Hall '-F 4 2 3'
_cell_length_a 7.1639
_cell_length_b 7.1639
_cell_length_c 7.1639
_cell_angle_alpha 90.00
_cell_angle_beta 90.00
_cell_angle_gamma 90.00
loop_
_atom_site_label
_atom_site_type_symbol
_atom_site_fract_x
_atom_site_fract_y
_atom_site_fract_z
La1 La 0.0000 0.0000 0.0000
Nb1 Nb 0.0000 0.0000 0.5000
Au1 Au 0.2500 0.2500 0.2500


# La5PrNd5 | Alexandria via LeMat-Bulk | PBE-GGA | relaxed
# - Electronic total energy: -0.1690 Ha/atom
# - Energy relative to the elements: 0.2419 eV/atom
# - Total moment: 0.000 Bohr magnetons per cell
data_La5PrNd5
_space_group_name_H-M_alt 'P -6 m 2'
_space_group_IT_number 187
_space_group_name_Hall 'P -6 2'
_cell_length_a 6.3583
_cell_length_b 6.3583
_cell_length_c 11.7486
_cell_angle_alpha 90.00
_cell_angle_beta 90.00
_cell_angle_gamma 120.00
loop_
_atom_site_label
_atom_site_type_symbol
_atom_site_fract_x
_atom_site_fract_y
_atom_site_fract_z
La1 La 0.0000 0.0000 0.0000
La2 La 0.3333 0.6667 0.3238
La3 La 0.6667 0.3333 0.1575
Pr1 Pr 0.3333 0.6667 0.0000
Nd1 Nd 0.0000 0.0000 0.2655
Nd2 Nd 0.3387 0.1693 0.5000


# SrIn2Pd | Alexandria via LeMat-Bulk | PBE-GGA | relaxed
# - Electronic total energy: -0.1305 Ha/atom
# - Energy relative to the elements: -0.4620 eV/atom
# - Total moment: 0.000 Bohr magnetons per cell
data_SrIn2Pd
_space_group_name_H-M_alt 'R -3 m'
_space_group_IT_number 166
_space_group_name_Hall '-R 3 2"'
_cell_length_a 4.6411
_cell_length_b 4.6411
_cell_length_c 17.6748
_cell_angle_alpha 90.00
_cell_angle_beta 90.00
_cell_angle_gamma 120.00
loop_
_atom_site_label
_atom_site_type_symbol
_atom_site_fract_x
_atom_site_fract_y
_atom_site_fract_z
Sr1 Sr 0.0000 0.0000 0.0000
In1 In 0.0000 0.0000 0.2116
Pd1 Pd 0.0000 0.0000 0.5000


# KPmBi | Alexandria via LeMat-Bulk | PBE-GGA | relaxed
# - Electronic total energy: -0.1304 Ha/atom
# - Energy relative to the elements: -0.3059 eV/atom
# - Total moment: 0.001 Bohr magnetons per cell
data_KPmBi
_space_group_name_H-M_alt 'R -3 m'
_space_group_IT_number 166
_space_group_name_Hall '-R 3 2"'
_cell_length_a 5.0235
_cell_length_b 5.0235
_cell_length_c 39.5513
_cell_angle_alpha 90.00
_cell_angle_beta 90.00
_cell_angle_gamma 120.00
loop_
_atom_site_label
_atom_site_type_symbol
_atom_site_fract_x
_atom_site_fract_y
_atom_site_fract_z
K1 K 0.0000 0.0000 0.2200
Pm1 Pm 0.0000 0.0000 0.3620
Bi1 Bi 0.0000 0.0000 0.0585


# Mg2As | Alexandria via LeMat-Bulk | PBE-GGA | relaxed
# - Electronic total energy: -0.1097 Ha/atom
# - Energy relative to the elements: -0.3712 eV/atom
# - Total moment: 0.000 Bohr magnetons per cell
data_Mg2As
_space_group_name_H-M_alt 'P n m a'
_space_group_IT_number 62
_space_group_name_Hall '-P 2ac 2n'
_cell_length_a 7.0627
_cell_length_b 4.2534
_cell_length_c 8.3372
_cell_angle_alpha 90.00
_cell_angle_beta 90.00
_cell_angle_gamma 90.00
loop_
_atom_site_label
_atom_site_type_symbol
_atom_site_fract_x
_atom_site_fract_y
_atom_site_fract_z
Mg1 Mg 0.0285 0.2500 0.1705
Mg2 Mg 0.1379 0.2500 0.5682
As1 As 0.2458 0.2500 0.8833


# Ce2CdOs | Alexandria via LeMat-Bulk | PBE-GGA | relaxed
# - Electronic total energy: -0.2224 Ha/atom
# - Energy relative to the elements: -0.0481 eV/atom
# - Total moment: 2.729 Bohr magnetons per cell
data_Ce2CdOs
_space_group_name_H-M_alt 'F m -3 m'
_space_group_IT_number 225
_space_group_name_Hall '-F 4 2 3'
_cell_length_a 7.2152
_cell_length_b 7.2152
_cell_length_c 7.2152
_cell_angle_alpha 90.00
_cell_angle_beta 90.00
_cell_angle_gamma 90.00
loop_
_atom_site_label
_atom_site_type_symbol
_atom_site_fract_x
_atom_site_fract_y
_atom_site_fract_z
Ce1 Ce 0.2500 0.2500 0.2500
Cd1 Cd 0.0000 0.0000 0.0000
Os1 Os 0.0000 0.0000 0.5000


# CaCdP4 | Alexandria via LeMat-Bulk | PBE-GGA | relaxed
# - Electronic total energy: -0.1483 Ha/atom
# - Energy relative to the elements: 0.0571 eV/atom
# - Total moment: 0.000 Bohr magnetons per cell
data_CaCdP4
_space_group_name_H-M_alt 'F -4 3 m'
_space_group_IT_number 216
_space_group_name_Hall 'F -4 2 3'
_cell_length_a 7.7830
_cell_length_b 7.7830
_cell_length_c 7.7830
_cell_angle_alpha 90.00
_cell_angle_beta 90.00
_cell_angle_gamma 90.00
loop_
_atom_site_label
_atom_site_type_symbol
_atom_site_fract_x
_atom_site_fract_y
_atom_site_fract_z
Ca1 Ca 0.0000 0.0000 0.0000
Cd1 Cd 0.2500 0.2500 0.7500
P1 P 0.1089 0.1089 0.3911


# PdAuSe2 | Alexandria via LeMat-Bulk | PBE-GGA | relaxed
# - Electronic total energy: -0.1476 Ha/atom
# - Formation energy (no corrections): -0.155 eV/atom
# - Total moment: 0.000 Bohr magnetons per cell
data_PdAuSe2
_space_group_name_H-M_alt 'R -3 m'
_space_group_IT_number 166
_space_group_name_Hall '-R 3 2"'
_cell_length_a 3.8705
_cell_length_b 3.8705
_cell_length_c 22.2742
_cell_angle_alpha 90.00
_cell_angle_beta 90.00
_cell_angle_gamma 120.00
loop_
_atom_site_label
_atom_site_type_symbol
_atom_site_fract_x
_atom_site_fract_y
_atom_site_fract_z
Pd1 Pd 0.0000 0.0000 0.0000
Au1 Au 0.0000 0.0000 0.5000
Se1 Se 0.0000 0.0000 0.3903


# ThZrB12 | Alexandria via LeMat-Bulk | PBE-GGA | relaxed
# - Electronic total energy: -0.2611 Ha/atom
# - Energy relative to the elements: -0.2419 eV/atom
# - Total moment: 0.000 Bohr magnetons per cell
data_ThZrB12
_space_group_name_H-M_alt 'P 4/m m m'
_space_group_IT_number 123
_space_group_name_Hall '-P 4 2'
_cell_length_a 4.0919
_cell_length_b 4.0919
_cell_length_c 8.1486
_cell_angle_alpha 90.00
_cell_angle_beta 90.00
_cell_angle_gamma 90.00
loop_
_atom_site_label
_atom_site_type_symbol
_atom_site_fract_x
_atom_site_fract_y
_atom_site_fract_z
Th1 Th 0.0000 0.0000 0.0000
Zr1 Zr 0.0000 0.0000 0.5000
B1 B 0.1976 0.5000 0.2529
B2 B 0.5000 0.5000 0.1000
B3 B 0.5000 0.5000 0.4025


# RbBa2CdAu | Alexandria via LeMat-Bulk | PBE-GGA | relaxed
# - Electronic total energy: -0.0737 Ha/atom
# - Energy relative to the elements: -0.2045 eV/atom
# - Total moment: 0.248 Bohr magnetons per cell
data_RbBa2CdAu
_space_group_name_H-M_alt 'P 4/m m m'
_space_group_IT_number 123
_space_group_name_Hall '-P 4 2'
_cell_length_a 6.4922
_cell_length_b 6.4922
_cell_length_c 5.5915
_cell_angle_alpha 90.00
_cell_angle_beta 90.00
_cell_angle_gamma 90.00
loop_
_atom_site_label
_atom_site_type_symbol
_atom_site_fract_x
_atom_site_fract_y
_atom_site_fract_z
Rb1 Rb 0.0000 0.0000 0.0000
Ba1 Ba 0.0000 0.5000 0.5000
Cd1 Cd 0.5000 0.5000 0.0000
Au1 Au 0.5000 0.5000 0.5000


# TbSmTmSn | Alexandria via LeMat-Bulk | PBE-GGA | relaxed
# - Electronic total energy: -0.1720 Ha/atom
# - Energy relative to the elements: -0.2236 eV/atom
# - Total moment: 0.020 Bohr magnetons per cell
data_TbSmTmSn
_space_group_name_H-M_alt 'F -4 3 m'
_space_group_IT_number 216
_space_group_name_Hall 'F -4 2 3'
_cell_length_a 7.6685
_cell_length_b 7.6685
_cell_length_c 7.6685
_cell_angle_alpha 90.00
_cell_angle_beta 90.00
_cell_angle_gamma 90.00
loop_
_atom_site_label
_atom_site_type_symbol
_atom_site_fract_x
_atom_site_fract_y
_atom_site_fract_z
Tb1 Tb 0.0000 0.0000 0.0000
Sm1 Sm 0.2500 0.2500 0.2500
Tm1 Tm 0.2500 0.2500 0.7500
Sn1 Sn 0.0000 0.0000 0.5000


# TlInW2 | Alexandria via LeMat-Bulk | PBE-GGA | relaxed
# - Electronic total energy: -0.2287 Ha/atom
# - Energy relative to the elements: 1.5301 eV/atom
# - Total moment: 0.012 Bohr magnetons per cell
data_TlInW2
_space_group_name_H-M_alt 'I -4 2 d'
_space_group_IT_number 122
_space_group_name_Hall 'I -4 2bw'
_cell_length_a 7.6746
_cell_length_b 7.6746
_cell_length_c 5.6454
_cell_angle_alpha 90.00
_cell_angle_beta 90.00
_cell_angle_gamma 90.00
loop_
_atom_site_label
_atom_site_type_symbol
_atom_site_fract_x
_atom_site_fract_y
_atom_site_fract_z
Tl1 Tl 0.0000 0.0000 0.0000
In1 In 0.0000 0.0000 0.5000
W1 W 0.2402 0.2500 0.6250